(1)
## Sc6BeFe2 (PBE)

Data for Sc6BeFe2 after structural relaxation.

Geometry as POSCAR:
```
Sc6BeFe2
1.0
-4.2962 4.3235 4.6071
4.2962 -4.3235 4.6071
4.2962 4.3235 -4.6071
Sc Be Fe
12 2 4
Cartesian
4.2962 -2.6825 3.0391
2.6521 0.0000 2.2741
5.9402 0.0000 2.2741
2.7589 2.3466 0.0000
5.8335 2.3466 0.0000
0.0000 1.6410 1.5680
4.2962 2.6825 3.0391
-1.5373 1.9769 4.6071
1.5373 1.9769 4.6071
-1.6440 4.3235 2.3330
1.6440 4.3235 2.3330
0.0000 7.0060 1.5680
4.2962 0.0000 0.0000
0.0000 4.3235 0.0000
1.5214 0.0000 0.0000
7.0709 0.0000 0.0000
0.0000 0.0000 3.5307
0.0000 0.0000 5.6834
```

Computed properties:
The value obtained for the formation energy is -0.06 eV/atom. The total energy comes out at -6.580 eV/atom.

(2)
## Ca2MgNiIr (PBE)

Data for Ca2MgNiIr after structural relaxation.

Geometry as POSCAR:
```
Ca2MgNiIr
1.0
5.0408 0.0000 0.0000
0.0000 5.0408 0.0000
0.0000 0.0000 4.6631
Ca Mg Ni Ir
2 1 1 1
Cartesian
0.0000 2.5204 0.0000
2.5204 0.0000 0.0000
0.0000 0.0000 2.3316
0.0000 0.0000 0.0000
2.5204 2.5204 2.3316
```

Computed properties:
The value obtained for the formation energy is 0.38 eV/atom. The total energy comes out at -3.673 eV/atom.